The following is a DFT calculation (GGA-PBE) of a geometry-optimized Zn5Rh structure.

Properties
Formation energy from the elements   -0.22 eV per atom
Fermi-level density of states   1.9 states/eV/cell
ρ   8.351 g/cm3
Total moment   0.00 μB/f.u.
Energy   -2.505 eV/atom
Crystal system   orthorhombic

```
Zn5Rh
1.0
1.900 -5.946 0.000
1.900 5.946 0.000
0.000 0.000 3.784
Zn Rh
5 1
direct
0.000 0.000 0.000
0.163 0.837 0.500
0.334 0.666 0.000
0.666 0.334 0.000
0.837 0.163 0.500
0.500 0.500 0.500
```